Entry 1:
CeSm6Dy | PBE | optimized geometry

The space group is Fmmm (No. 69) and the conventional cell measures 7.219, 10.186 and 14.433 Å, with angles of 90.00, 90.00 and 90.00 degrees. Symmetry generates all atoms from Ce at (0.000, 0.000, 0.000), Sm at (0.000, 0.000, 0.248), Sm at (0.250, 0.250, 0.123) and Dy at (0.000, 0.000, 0.500).

The value obtained for the final energy is -4.81 eV/atom. For the total moment, the calculation gives 1.1 μB/f.u. The calculation puts the calculated formation energy at 0.05 eV/atom.



Entry 2:
CeSm6Dy4 | PBE | optimized geometry

The space group is Cmcm (No. 63) and the conventional cell measures 5.842, 9.608 and 25.833 Å, with angles of 90.00, 90.00 and 90.00 degrees. Symmetry generates all atoms from Ce at (0.000, 0.213, 0.250), Sm at (0.000, 0.118, 0.681), Sm at (0.000, 0.204, 0.101), Sm at (0.000, 0.449, 0.750), Sm at (0.000, 0.500, 0.000), Dy at (0.000, 0.149, 0.543) and Dy at (0.000, 0.451, 0.623).

The value obtained for the final energy is -4.64 eV/atom. For the total moment, the calculation gives 1.0 μB/f.u. The calculation puts the calculated formation energy at 0.15 eV/atom.



Entry 3:
CeSm2Dy6 | PBE | optimized geometry

The space group is R3m (No. 160, hexagonal axes) and the conventional cell measures 7.3160, 7.3160 and 18.9294 Å, with angles of 90.00, 90.00 and 120.00 degrees. Symmetry generates all atoms from Ce at (0.0000, 0.0000, 0.0000), Sm at (0.0000, 0.0000, 0.2613), Sm at (0.0000, 0.0000, 0.4377), Dy at (0.0130, 0.5065, 0.4477) and Dy at (0.0356, 0.5178, 0.2545).

The value obtained for the final energy is -4.48 eV/atom. For the total moment, the calculation gives 0.0 μB/f.u. The calculation puts the calculated formation energy at 0.30 eV/atom.



Entry 4:
Ce2SmDy | PBE | optimized geometry

The space group is P4/mmm (No. 123) and the conventional cell measures 3.479, 3.479 and 10.201 Å, with angles of 90.00, 90.00 and 90.00 degrees. Symmetry generates all atoms from Ce at (0.000, 0.000, 0.248), Sm at (0.500, 0.500, 0.500) and Dy at (0.500, 0.500, 0.000).

The value obtained for the final energy is -5.18 eV/atom. For the total moment, the calculation gives 1.5 μB/f.u. The calculation puts the calculated formation energy at 0.11 eV/atom.



Entry 5:
CeSm2Dy8 | PBE | optimized geometry

The space group is C2/m (No. 12) and the conventional cell measures 19.062, 6.934 and 5.585 Å, with angles of 90.00, 93.01 and 90.00 degrees. Symmetry generates all atoms from Ce at (0.000, 0.000, 0.000), Sm at (0.217, 0.500, 0.250), Dy at (0.046, 0.500, 0.237), Dy at (0.131, 0.265, 0.733) and Dy at (0.186, 0.000, 0.233).

The value obtained for the final energy is -4.56 eV/atom. For the total moment, the calculation gives 1.2 μB/f.u. The calculation puts the calculated formation energy at 0.18 eV/atom.



Entry 6:
CeSm4Dy3 | PBE | optimized geometry

The space group is C2/m (No. 12) and the conventional cell measures 23.475, 3.439 and 6.834 Å, with angles of 90.00, 106.85 and 90.00 degrees. Symmetry generates all atoms from Ce at (0.000, 0.000, 0.000), Sm at (0.123, 0.500, 0.365), Sm at (0.241, 0.000, 0.238), Dy at (0.000, 0.500, 0.500) and Dy at (0.123, 0.500, 0.882).

The value obtained for the final energy is -4.64 eV/atom. For the total moment, the calculation gives 0.9 μB/f.u. The calculation puts the calculated formation energy at 0.19 eV/atom.



Entry 7:
CeSm4Dy7 | PBE | optimized geometry

The space group is P-1 (No. 2) and the conventional cell measures 5.982, 6.923 and 10.057 Å, with angles of 110.07, 90.17 and 90.02 degrees. Symmetry generates all atoms from Ce at (0.000, 0.000, 0.000), Sm at (0.252, 0.137, 0.729), Sm at (0.252, 0.591, 0.729), Dy at (0.246, 0.716, 0.431), Dy at (0.250, 0.540, 0.080), Dy at (0.251, 0.187, 0.372) and Dy at (0.500, 0.000, 0.000).

The value obtained for the final energy is -4.60 eV/atom. For the total moment, the calculation gives 1.4 μB/f.u. The calculation puts the calculated formation energy at 0.15 eV/atom.



Entry 8:
CeSm6Dy2 | PBE | optimized geometry

The space group is C2/m (No. 12) and the conventional cell measures 11.660, 3.435 and 15.385 Å, with angles of 90.00, 101.06 and 90.00 degrees. Symmetry generates all atoms from Ce at (0.000, 0.000, 0.000), Sm at (0.044, 0.000, 0.227), Sm at (0.127, 0.500, 0.435), Sm at (0.206, 0.500, 0.896) and Dy at (0.164, 0.500, 0.666).

The value obtained for the final energy is -4.62 eV/atom. For the total moment, the calculation gives 1.1 μB/f.u. The calculation puts the calculated formation energy at 0.21 eV/atom.



Entry 9:
CeSm2Dy12 | PBE | optimized geometry

The space group is C2/m (No. 12) and the conventional cell measures 7.078, 11.234 and 24.315 Å, with angles of 90.00, 94.26 and 90.00 degrees. Symmetry generates all atoms from Ce at (0.194, 0.000, 0.000), Sm at (0.066, 0.500, 0.270), Sm at (0.068, 0.000, 0.271), Dy at (0.017, 0.256, 0.073), Dy at (0.112, 0.249, 0.445), Dy at (0.142, 0.500, 0.574), Dy at (0.143, 0.000, 0.573), Dy at (0.168, 0.250, 0.670), Dy at (0.201, 0.250, 0.801), Dy at (0.213, 0.000, 0.866) and Dy at (0.222, 0.500, 0.866).

The value obtained for the final energy is -4.59 eV/atom. For the total moment, the calculation gives 0.7 μB/f.u. The calculation puts the calculated formation energy at 0.12 eV/atom.



Entry 10:
CeSm2Dy | PBE | optimized geometry

The space group is Fm-3m (No. 225) and the conventional cell measures 8.090, 8.090 and 8.090 Å, with angles of 90.00, 90.00 and 90.00 degrees. Symmetry generates all atoms from Ce at (0.000, 0.000, 0.000), Sm at (0.250, 0.250, 0.250) and Dy at (0.000, 0.000, 0.500).

The value obtained for the final energy is -4.80 eV/atom. For the total moment, the calculation gives 3.2 μB/f.u. The calculation puts the calculated formation energy at 0.20 eV/atom.



Q: Which of these has the lowest total moment?
A: CeSm2Dy6



Q: Number 7 is which compound?
A: CeSm4Dy7